[1]
Entry from Alexandria via LeMat-Bulk: an optimized crystal structure of NaV3Co (PBE).

abc: 4.4343 4.4343 4.4343
angles: 90.00 90.00 90.00
Element x y z (fractional)
Na  0.0000  0.0000  0.0000
V  0.0000  0.5000  0.5000
V  0.5000  0.0000  0.5000
V  0.5000  0.5000  0.0000
Co  0.5000  0.5000  0.5000

Computed properties:
* DFT total energy: -6.193 eV per atom
* excess energy over the best structure of this formula in the dataset: 0.000 eV per atom
* formation energy from the elements: 0.96 eV/atom



[2]
Entry from Alexandria via LeMat-Bulk: an optimized crystal structure of Ac3CoHg (PBE).

abc: 9.0817 4.2736 9.3563
angles: 90.00 104.28 90.00
Element x y z (fractional)
Ac  0.0465  0.2500  0.3290
Ac  0.2868  0.2500  0.9631
Ac  0.3748  0.7500  0.6322
Ac  0.6252  0.2500  0.3678
Ac  0.7132  0.7500  0.0369
Ac  0.9535  0.7500  0.6710
Co  0.1721  0.2500  0.6576
Co  0.8279  0.7500  0.3424
Hg  0.3159  0.7500  0.2461
Hg  0.6841  0.2500  0.7539

Computed properties:
* DFT total energy: -4.132 eV per atom
* excess energy over the best structure of this formula in the dataset: 0.040 eV per atom
* formation energy from the elements: -0.19 eV/atom



[3]
Entry from Alexandria via LeMat-Bulk: an optimized crystal structure of Sr3Nd2Zn2Pt4 (PBE).

abc: 4.4342 4.4342 17.4805
angles: 90.00 90.00 120.00
Element x y z (fractional)
Sr  0.0000  0.0000  0.0000
Sr  0.0000  0.0000  0.2433
Sr  0.0000  0.0000  0.7567
Nd  0.3333  0.6667  0.5759
Nd  0.6667  0.3333  0.4241
Zn  0.3333  0.6667  0.1225
Zn  0.6667  0.3333  0.8775
Pt  0.3333  0.6667  0.3541
Pt  0.3333  0.6667  0.8795
Pt  0.6667  0.3333  0.1205
Pt  0.6667  0.3333  0.6459

Computed properties:
* DFT total energy: -4.492 eV per atom
* formation energy from the elements: -0.74 eV/atom



[4]
Entry from Alexandria via LeMat-Bulk: an optimized crystal structure of MnBe2B2 (PBE).

abc: 4.7188 4.7188 4.7188
angles: 142.91 142.91 53.46
Element x y z (fractional)
Mn  0.0000  0.0000  0.0000
Be  0.2500  0.7500  0.5000
Be  0.7500  0.2500  0.5000
B  0.4025  0.4025  0.0000
B  0.5975  0.5975  0.0000

Computed properties:
* DFT total energy: -6.150 eV per atom
* excess energy over the best structure of this formula in the dataset: 0.000 eV per atom
* formation energy from the elements: -0.15 eV/atom



Please write out number 1 again, unchanged.
Entry from Alexandria via LeMat-Bulk: an optimized crystal structure of NaV3Co (PBE).

abc: 4.4343 4.4343 4.4343
angles: 90.00 90.00 90.00
Element x y z (fractional)
Na  0.0000  0.0000  0.0000
V  0.0000  0.5000  0.5000
V  0.5000  0.0000  0.5000
V  0.5000  0.5000  0.0000
Co  0.5000  0.5000  0.5000

Computed properties:
* DFT total energy: -6.193 eV per atom
* excess energy over the best structure of this formula in the dataset: 0.000 eV per atom
* formation energy from the elements: 0.96 eV/atom



What is the DFT total energy in the third record?
-4.492 eV per atom